Sm6Mg5Al: optimized geometry, PBE-GGA.

a b c (Å): 5.3826 7.6742 8.5198
angles (deg): 90.00 108.38 90.00
Space group P2/m (No. 10)
Asymmetric unit:
Sm 0.0000 0.2401 0.0000 [2 per cell]
Sm 0.3400 0.2436 0.6751 [4 per cell]
Mg 0.1645 0.5000 0.3361 [2 per cell]
Mg 0.1662 0.0000 0.3395 [2 per cell]
Mg 0.5000 0.5000 0.0000 [1 per cell]
Al 0.5000 0.0000 0.0000 [1 per cell]

## Properties
Crystal system: monoclinic
Formation enthalpy at 0 K: -0.153 eV/atom